Computed, not measured: a relaxed CoPPtS2 crystal at the PBE-GGA level of DFT.

```
data_CoPPtS2
_cell_length_a 4.946
_cell_length_b 4.946
_cell_length_c 4.368
_cell_angle_alpha 90.00
_cell_angle_beta 90.00
_cell_angle_gamma 90.00
_symmetry_space_group_name_H-M 'P 4/m m m'
_symmetry_Int_Tables_number 123
_symmetry_space_group_name_Hall '-P 4 2'
loop_
_atom_site_label
_atom_site_type_symbol
_atom_site_fract_x
_atom_site_fract_y
_atom_site_fract_z
_atom_site_occupancy
Co1 Co 0.000 0.000 0.000 1
P1 P 0.500 0.500 0.000 1
Pt1 Pt 0.500 0.500 0.500 1
S1 S 0.000 0.500 0.500 1
```

Results
Uncorrected formation energy: 1.0226 eV/atom


Computed, not measured: a relaxed CoP2PtS crystal at the PBE-GGA level of DFT.

```
data_CoP2PtS
_cell_length_a 4.558
_cell_length_b 4.558
_cell_length_c 5.045
_cell_angle_alpha 90.00
_cell_angle_beta 90.00
_cell_angle_gamma 90.00
_symmetry_space_group_name_H-M 'P 4/m m m'
_symmetry_Int_Tables_number 123
_symmetry_space_group_name_Hall '-P 4 2'
loop_
_atom_site_label
_atom_site_type_symbol
_atom_site_fract_x
_atom_site_fract_y
_atom_site_fract_z
_atom_site_occupancy
Co1 Co 0.000 0.000 0.000 1
P1 P 0.000 0.500 0.500 1
Pt1 Pt 0.500 0.500 0.500 1
S1 S 0.500 0.500 0.000 1
```

Results
Uncorrected formation energy: 1.0993 eV/atom


Computed, not measured: a relaxed Co2SiPPt crystal at the PBE-GGA level of DFT.

```
data_Co2SiPPt
_cell_length_a 4.706
_cell_length_b 4.706
_cell_length_c 4.437
_cell_angle_alpha 90.00
_cell_angle_beta 90.00
_cell_angle_gamma 90.00
_symmetry_space_group_name_H-M 'P 4/m m m'
_symmetry_Int_Tables_number 123
_symmetry_space_group_name_Hall '-P 4 2'
loop_
_atom_site_label
_atom_site_type_symbol
_atom_site_fract_x
_atom_site_fract_y
_atom_site_fract_z
_atom_site_occupancy
Co1 Co 0.000 0.500 0.000 1
Si1 Si 0.000 0.000 0.500 1
P1 P 0.500 0.500 0.500 1
Pt1 Pt 0.000 0.000 0.000 1
```

Results
Uncorrected formation energy: 1.0775 eV/atom


Computed, not measured: a relaxed SrCoPPt crystal at the PBE-GGA level of DFT.

```
data_SrCoPPt
_cell_length_a 3.804
_cell_length_b 3.804
_cell_length_c 10.699
_cell_angle_alpha 90.00
_cell_angle_beta 90.00
_cell_angle_gamma 90.00
_symmetry_space_group_name_H-M 'P 4/n m m'
_symmetry_Int_Tables_number 129
loop_
_symmetry_equiv_pos_as_xyz
'x,y,z'
'-x,-y,-z'
'-y+1/2,x,z'
'y+1/2,-x,-z'
'-x+1/2,-y+1/2,z'
'x+1/2,y+1/2,-z'
'y,-x+1/2,z'
'-y,x+1/2,-z'
'x+1/2,-y,-z'
'-x+1/2,y,z'
'-y,-x,-z'
'y,x,z'
'-x,y+1/2,-z'
'x,-y+1/2,z'
'y+1/2,x+1/2,-z'
'-y+1/2,-x+1/2,z'
loop_
_atom_site_label
_atom_site_type_symbol
_atom_site_fract_x
_atom_site_fract_y
_atom_site_fract_z
_atom_site_occupancy
Sr1 Sr 0.250 0.250 0.232 1
Co1 Co 0.250 0.750 0.500 1
P1 P 0.250 0.250 0.607 1
Pt1 Pt 0.250 0.750 0.000 1
```

Results
ΔH_f (0 K): -732.7 meV per atom


Computed, not measured: a relaxed TaCo2PPt crystal at the PBE-GGA level of DFT.

```
data_TaCo2PPt
_cell_length_a 4.540
_cell_length_b 4.540
_cell_length_c 4.893
_cell_angle_alpha 90.00
_cell_angle_beta 90.00
_cell_angle_gamma 90.00
_symmetry_space_group_name_H-M 'P 4/m m m'
_symmetry_Int_Tables_number 123
_symmetry_space_group_name_Hall '-P 4 2'
loop_
_atom_site_label
_atom_site_type_symbol
_atom_site_fract_x
_atom_site_fract_y
_atom_site_fract_z
_atom_site_occupancy
Ta1 Ta 0.000 0.000 0.000 1
Co1 Co 0.000 0.500 0.500 1
P1 P 0.500 0.500 0.000 1
Pt1 Pt 0.000 0.000 0.500 1
```

Results
ΔH_f (0 K): 1337.8 meV per atom


Computed, not measured: a relaxed Th2Co3P4Pt crystal at the PBE-GGA level of DFT.

```
data_Th2Co3P4Pt
_cell_length_a 4.087
_cell_length_b 4.087
_cell_length_c 9.299
_cell_angle_alpha 90.00
_cell_angle_beta 90.00
_cell_angle_gamma 90.00
_symmetry_space_group_name_H-M 'P -4 m 2'
_symmetry_Int_Tables_number 115
loop_
_symmetry_equiv_pos_as_xyz
'x,y,z'
'y,-x,-z'
'-x,-y,z'
'-y,x,-z'
'-x,y,z'
'-y,-x,-z'
'x,-y,z'
'y,x,-z'
loop_
_atom_site_label
_atom_site_type_symbol
_atom_site_fract_x
_atom_site_fract_y
_atom_site_fract_z
_atom_site_occupancy
Th1 Th 0.000 0.500 0.240 1
Co1 Co 0.000 0.500 0.893 1
Co2 Co 0.500 0.500 0.500 1
P1 P 0.000 0.000 0.000 1
P2 P 0.000 0.500 0.647 1
P3 P 0.500 0.500 0.000 1
Pt1 Pt 0.000 0.000 0.500 1
```

Results
ΔH_f (0 K): -1051.3 meV per atom


Computed, not measured: a relaxed TiCo2PPt crystal at the PBE-GGA level of DFT.

```
data_TiCo2PPt
_cell_length_a 4.628
_cell_length_b 4.628
_cell_length_c 4.402
_cell_angle_alpha 90.00
_cell_angle_beta 90.00
_cell_angle_gamma 90.00
_symmetry_space_group_name_H-M 'P 4/m m m'
_symmetry_Int_Tables_number 123
_symmetry_space_group_name_Hall '-P 4 2'
loop_
_atom_site_label
_atom_site_type_symbol
_atom_site_fract_x
_atom_site_fract_y
_atom_site_fract_z
_atom_site_occupancy
Ti1 Ti 0.000 0.000 0.000 1
Co1 Co 0.000 0.500 0.500 1
P1 P 0.500 0.500 0.000 1
Pt1 Pt 0.500 0.500 0.500 1
```

Results
ΔH_f (0 K): 892.6 meV per atom


Computed, not measured: a relaxed TiCo2PPt crystal at the PBE-GGA level of DFT.

```
data_TiCo2PPt
_cell_length_a 4.090
_cell_length_b 4.090
_cell_length_c 4.527
_cell_angle_alpha 90.00
_cell_angle_beta 90.00
_cell_angle_gamma 90.00
_symmetry_space_group_name_H-M 'P 4/m m m'
_symmetry_Int_Tables_number 123
_symmetry_space_group_name_Hall '-P 4 2'
loop_
_atom_site_label
_atom_site_type_symbol
_atom_site_fract_x
_atom_site_fract_y
_atom_site_fract_z
_atom_site_occupancy
Ti1 Ti 0.000 0.000 0.000 1
Co1 Co 0.000 0.500 0.500 1
P1 P 0.000 0.000 0.500 1
Pt1 Pt 0.500 0.500 0.000 1
```

Results
ΔH_f (0 K): 5.6 meV per atom


Computed, not measured: a relaxed U2Co3P4Pt crystal at the PBE-GGA level of DFT.

```
data_U2Co3P4Pt
_cell_length_a 3.982
_cell_length_b 3.982
_cell_length_c 9.221
_cell_angle_alpha 90.00
_cell_angle_beta 90.00
_cell_angle_gamma 90.00
_symmetry_space_group_name_H-M 'P -4 m 2'
_symmetry_Int_Tables_number 115
loop_
_symmetry_equiv_pos_as_xyz
'x,y,z'
'y,-x,-z'
'-x,-y,z'
'-y,x,-z'
'-x,y,z'
'-y,-x,-z'
'x,-y,z'
'y,x,-z'
loop_
_atom_site_label
_atom_site_type_symbol
_atom_site_fract_x
_atom_site_fract_y
_atom_site_fract_z
_atom_site_occupancy
U1 U 0.000 0.500 0.236 1
Co1 Co 0.000 0.500 0.891 1
Co2 Co 0.500 0.500 0.500 1
P1 P 0.000 0.000 0.000 1
P2 P 0.000 0.500 0.651 1
P3 P 0.500 0.500 0.000 1
Pt1 Pt 0.000 0.000 0.500 1
```

Results
ΔH_f (0 K): -792.6 meV per atom


Computed, not measured: a relaxed U2Co4P3Pt crystal at the PBE-GGA level of DFT.

```
data_U2Co4P3Pt
_cell_length_a 3.696
_cell_length_b 3.696
_cell_length_c 10.380
_cell_angle_alpha 90.00
_cell_angle_beta 90.00
_cell_angle_gamma 90.00
_symmetry_space_group_name_H-M 'P -4 m 2'
_symmetry_Int_Tables_number 115
loop_
_symmetry_equiv_pos_as_xyz
'x,y,z'
'y,-x,-z'
'-x,-y,z'
'-y,x,-z'
'-x,y,z'
'-y,-x,-z'
'x,-y,z'
'y,x,-z'
loop_
_atom_site_label
_atom_site_type_symbol
_atom_site_fract_x
_atom_site_fract_y
_atom_site_fract_z
_atom_site_occupancy
U1 U 0.000 0.500 0.247 1
Co1 Co 0.000 0.000 0.000 1
Co2 Co 0.000 0.500 0.671 1
Co3 Co 0.500 0.500 0.000 1
P1 P 0.000 0.500 0.882 1
P2 P 0.500 0.500 0.500 1
Pt1 Pt 0.000 0.000 0.500 1
```

Results
ΔH_f (0 K): -708.7 meV per atom


Computed, not measured: a relaxed U2Co12P3Pt crystal at the PBE-GGA level of DFT.

```
data_U2Co12P3Pt
_cell_length_a 8.1349
_cell_length_b 8.1349
_cell_length_c 12.1662
_cell_angle_alpha 90.00
_cell_angle_beta 90.00
_cell_angle_gamma 120.00
_symmetry_space_group_name_H-M 'R -3 m'
_symmetry_Int_Tables_number 166
_symmetry_space_group_name_Hall '-R 3 2"'
loop_
_atom_site_label
_atom_site_type_symbol
_atom_site_fract_x
_atom_site_fract_y
_atom_site_fract_z
_atom_site_occupancy
U1 U 0.0000 0.0000 0.1362 1
Co1 Co 0.0148 0.5074 0.3804 1
Co2 Co 0.0233 0.5116 0.8212 1
P1 P 0.0000 0.5000 0.0000 1
Pt1 Pt 0.0000 0.0000 0.5000 1
```

Results
ΔH_f (0 K): -71.1 meV per atom


Computed, not measured: a relaxed PuCo5P2 crystal at the PBE-GGA level of DFT.

```
data_PuCo5P2
_cell_length_a 3.602
_cell_length_b 6.381
_cell_length_c 8.755
_cell_angle_alpha 90.00
_cell_angle_beta 90.00
_cell_angle_gamma 90.00
_symmetry_space_group_name_H-M 'I m m m'
_symmetry_Int_Tables_number 71
_symmetry_space_group_name_Hall '-I 2 2'
loop_
_atom_site_label
_atom_site_type_symbol
_atom_site_fract_x
_atom_site_fract_y
_atom_site_fract_z
_atom_site_occupancy
Pu1 Pu 0.000 0.000 0.000 1
Co1 Co 0.000 0.191 0.352 1
Co2 Co 0.000 0.500 0.000 1
P1 P 0.000 0.500 0.245 1
```

Results
ΔH_f (0 K): -556.1 meV per atom


Computed, not measured: a relaxed PuCo5P3 crystal at the PBE-GGA level of DFT.

```
data_PuCo5P3
_cell_length_a 3.581
_cell_length_b 11.439
_cell_length_c 11.237
_cell_angle_alpha 90.00
_cell_angle_beta 90.00
_cell_angle_gamma 90.00
_symmetry_space_group_name_H-M 'C m c m'
_symmetry_Int_Tables_number 63
_symmetry_space_group_name_Hall '-C 2c 2'
loop_
_atom_site_label
_atom_site_type_symbol
_atom_site_fract_x
_atom_site_fract_y
_atom_site_fract_z
_atom_site_occupancy
Pu1 Pu 0.000 0.155 0.250 1
Co1 Co 0.000 0.000 0.000 1
Co2 Co 0.000 0.198 0.568 1
Co3 Co 0.000 0.445 0.142 1
P1 P 0.000 0.114 0.750 1
P2 P 0.000 0.383 0.543 1
```

Results
ΔH_f (0 K): -692.8 meV per atom